DFT (GGA-PBE) results for a relaxed structure of Pr4Dy5Tm2.

POSCAR file:
```
Pr4Dy5Tm2
1.0
-1.753 4.661 11.501
1.753 -4.661 11.501
1.753 4.661 -11.501
Pr Dy Tm
4 5 2
direct
0.096 0.096 0.000
0.208 0.500 0.708
0.792 0.500 0.292
0.904 0.904 0.000
0.148 0.350 0.798
0.449 0.650 0.798
0.500 0.000 0.500
0.551 0.350 0.202
0.852 0.650 0.202
0.230 0.230 0.000
0.770 0.770 0.000
```

Results
Electronic total energy (eV per cell): -47.85
M_tot (μB per formula unit): 0.0
Energy of formation from the pure elements (eV per atom): 0.293